No. 1
{
  "formula": "LiIn4P",
  "functional": "GGA-PBE",
  "state": "optimized geometry",
  "cell": [[0.000, 4.292, 4.292], [4.292, 0.000, 4.292], [4.292, 4.292, 0.000]],
  "species": ["In", "In", "In", "P", "Li", "In"],
  "frac_coords": [[0.375, 0.876, 0.375], [0.876, 0.375, 0.375], [0.375, 0.375, 0.375], [0.000, 0.000, 0.000], [0.750, 0.750, 0.750], [0.375, 0.375, 0.876]],
  "m_tot_mub_per_fu": 0.00,
  "formation_energy_ev_per_atom": 0.308,
  "sg": "F-43m, No. 216",
  "crystal_system": "cubic"
}



No. 2
{
  "formula": "LiInP",
  "functional": "GGA-PBE",
  "state": "optimized geometry",
  "cell": [[8.504, 0.000, -0.001], [0.000, 4.688, 0.000], [-1.337, 0.000, 6.261]],
  "species": ["Li", "In", "Li", "P", "Li", "In", "P", "Li", "In", "P", "P", "In"],
  "frac_coords": [[0.000, 0.751, 0.000], [0.330, 0.500, 0.970], [0.000, 0.249, 0.000], [0.196, 0.500, 0.306], [0.000, 0.749, 0.500], [0.670, 0.500, 0.030], [0.804, 0.500, 0.694], [0.000, 0.251, 0.500], [0.330, 0.000, 0.470], [0.196, 0.000, 0.806], [0.804, 0.000, 0.194], [0.670, 0.000, 0.530]],
  "m_tot_mub_per_fu": 0.00,
  "formation_energy_ev_per_atom": -0.300,
  "sg": "C2/m, No. 12",
  "crystal_system": "monoclinic",
  "polymorph_energy_ev_per_atom": 0.118
}



No. 3
{
  "formula": "LiInP",
  "functional": "GGA-PBE",
  "state": "optimized geometry",
  "cell": [[4.070, -0.001, 0.001], [0.830, 5.102, 0.001], [0.892, 2.001, 6.052]],
  "species": ["P", "In", "Li", "Li", "In", "P"],
  "frac_coords": [[0.724, 0.169, 0.205], [0.172, 0.275, 0.435], [0.260, 0.267, 0.935], [0.740, 0.733, 0.065], [0.828, 0.725, 0.565], [0.276, 0.831, 0.795]],
  "m_tot_mub_per_fu": 0.00,
  "formation_energy_ev_per_atom": -0.343,
  "sg": "P-1, No. 2",
  "crystal_system": "triclinic",
  "polymorph_energy_ev_per_atom": 0.075
}



No. 4
{
  "formula": "Li3InP",
  "functional": "GGA-PBE",
  "state": "optimized geometry",
  "cell": [[4.702, 0.000, 0.000], [0.000, 4.702, 0.000], [0.000, 0.000, 4.702]],
  "species": ["Li", "Li", "In", "Li", "P"],
  "frac_coords": [[0.000, 0.000, 0.500], [0.000, 0.500, 0.000], [0.500, 0.500, 0.500], [0.500, 0.000, 0.000], [0.000, 0.000, 0.000]],
  "m_tot_mub_per_fu": 0.00,
  "formation_energy_ev_per_atom": -0.297,
  "sg": "Pm-3m, No. 221",
  "crystal_system": "cubic",
  "polymorph_energy_ev_per_atom": 0.000
}



Q: What is the formula in the third record?
A: LiInP